1.
SrTe2AuI (PBE, relaxed); E_form (uncorrected) = 1.39 eV/f.u.; electronic total energy = -2.2812 eV/atom; E above lowest polymorph = 744.3 meV/atom; density of states at the Fermi level = 4.2 states/eV/cell
1.0
6.413 0.000 0.000
0.000 6.413 0.000
0.000 0.000 6.186
Sr Te Au I
1 2 1 1
Cartesian
0.000 0.000 0.000 Sr
0.000 3.206 0.000 Te
3.206 0.000 0.000 Te
3.206 3.206 3.093 Au
0.000 0.000 3.093 I

=====

2.
La2Pr5Sm3 (PBE, relaxed); electronic total energy = -4.6258 eV/atom; E above lowest polymorph = 0.0 meV/atom; density of states at the Fermi level = 35.7 states/eV/cell; energy of formation from the pure elements = 165.2 meV/atom
1.0
5.635 -7.581 0.000
5.635 7.581 0.000
-5.626 0.000 8.421
La Pr Sm
4 10 6
Cartesian
1.385 1.879 0.489 La
-1.428 -1.879 4.700 La
7.072 1.879 3.721 La
4.259 -1.879 7.932 La
-1.361 1.862 6.385 Pr
1.416 4.157 6.316 Pr
4.229 3.545 2.105 Pr
1.452 -1.862 2.174 Pr
4.229 0.414 2.105 Pr
1.416 -0.414 6.316 Pr
4.193 1.862 6.246 Pr
1.416 -3.545 6.316 Pr
4.229 -4.157 2.105 Pr
7.006 -1.862 2.036 Pr
1.416 7.312 6.316 Sm
1.371 1.890 3.781 Sm
-1.442 -1.890 7.991 Sm
7.086 1.890 0.430 Sm
4.273 -1.890 4.640 Sm
4.229 -7.312 2.105 Sm

=====

3.
B2OsRhO (PBE, relaxed); E_form (uncorrected) = 4.33 eV/f.u.; electronic total energy = -6.5136 eV/atom; density of states at the Fermi level = 4.6 states/eV/cell
1.0
4.181 0.000 0.000
0.000 4.181 0.000
0.000 0.000 3.652
B Os Rh O
2 1 1 1
Cartesian
0.000 2.091 0.000 B
2.091 0.000 0.000 B
0.000 0.000 0.000 Os
2.091 2.091 1.826 Rh
0.000 0.000 1.826 O

=====

4.
Sr2EuS (PBE, relaxed); E_form (uncorrected) = -3.45 eV/f.u.; electronic total energy = -5.3037 eV/atom; density of states at the Fermi level = 3.1 states/eV/cell
1.0
2.052 1.185 11.133
-2.052 1.185 11.133
0.000 -2.369 11.133
Sr Eu S
2 1 1
Cartesian
0.000 0.000 3.752 Sr
0.000 0.000 29.648 Sr
0.000 0.000 0.000 Eu
0.000 0.000 16.700 S